(1)
# LiSnBiN2

LiSnBiN2 after structural relaxation (GGA-PBE, Alexandria via LeMat-Bulk).

theoretical density = 6.02 Mg/m³
E = -3.893 eV per atom

Structure (CIF):
```
data_LiSnBiN2
_chemical_formula_sum 'Li1 Sn1 Bi1 N2'
_cell_length_a 4.4894
_cell_length_b 4.9657
_cell_length_c 4.4894
_cell_angle_alpha 90.00
_cell_angle_beta 90.00
_cell_angle_gamma 90.00
_space_group_name_H-M_alt 'P 1'
_space_group_IT_number 1
_space_group_name_Hall 'P 1'
loop_
_atom_site_label
_atom_site_type_symbol
_atom_site_fract_x
_atom_site_fract_y
_atom_site_fract_z
N1 N 0.0000 0.0000 0.5000
N2 N 0.5000 0.0000 0.0000
Li1 Li 0.0000 0.5000 0.0000
Bi1 Bi 0.0000 0.0000 0.0000
Sn1 Sn 0.5000 0.5000 0.5000
```

***

(2)
# Hg2Pd8Pb3

Hg2Pd8Pb3 after structural relaxation (GGA-PBE, Alexandria via LeMat-Bulk).

theoretical density = 11.95 Mg/m³
E = -4.148 eV per atom

Structure (CIF):
```
data_Hg2Pd8Pb3
_chemical_formula_sum 'Hg2 Pd8 Pb3'
_cell_length_a 5.4354
_cell_length_b 5.4354
_cell_length_c 10.6523
_cell_angle_alpha 75.22
_cell_angle_beta 75.22
_cell_angle_gamma 60.00
_space_group_name_H-M_alt 'P 1'
_space_group_IT_number 1
_space_group_name_Hall 'P 1'
loop_
_atom_site_label
_atom_site_type_symbol
_atom_site_fract_x
_atom_site_fract_y
_atom_site_fract_z
Hg1 Hg 0.6359 0.6359 0.0923
Hg2 Hg 0.3641 0.3641 0.9077
Pd1 Pd 0.7244 0.7244 0.8267
Pd2 Pd 0.2756 0.2756 0.1733
Pd3 Pd 0.2253 0.7279 0.3190
Pd4 Pd 0.7279 0.2253 0.3190
Pd5 Pd 0.7279 0.7279 0.3190
Pd6 Pd 0.2721 0.7747 0.6810
Pd7 Pd 0.7747 0.2721 0.6810
Pd8 Pd 0.2721 0.2721 0.6810
Pb1 Pb 0.0000 0.0000 0.0000
Pb2 Pb 0.8128 0.8128 0.5616
Pb3 Pb 0.1872 0.1872 0.4384
```

***

(3)
# NaTbGe2Cl8

NaTbGe2Cl8 after structural relaxation (GGA-PBE, Alexandria via LeMat-Bulk).

theoretical density = 2.91 Mg/m³
E = -3.941 eV per atom

Structure (CIF):
```
data_NaTbGe2Cl8
_chemical_formula_sum 'Na1 Tb1 Ge2 Cl8'
_cell_length_a 6.6662
_cell_length_b 6.2995
_cell_length_c 8.2964
_cell_angle_alpha 89.35
_cell_angle_beta 88.61
_cell_angle_gamma 87.59
_space_group_name_H-M_alt 'P 1'
_space_group_IT_number 1
_space_group_name_Hall 'P 1'
loop_
_atom_site_label
_atom_site_type_symbol
_atom_site_fract_x
_atom_site_fract_y
_atom_site_fract_z
Na1 Na 0.0000 0.0000 0.5000
Tb1 Tb 0.0000 0.0000 0.0000
Ge1 Ge 0.4674 0.4703 0.7431
Ge2 Ge 0.5326 0.5297 0.2569
Cl1 Cl 0.1878 0.7915 0.2362
Cl2 Cl 0.6835 0.7485 0.0325
Cl3 Cl 0.8541 0.2499 0.2373
Cl4 Cl 0.8122 0.2085 0.7638
Cl5 Cl 0.3165 0.2515 0.9675
Cl6 Cl 0.1459 0.7501 0.7627
Cl7 Cl 0.6606 0.7188 0.4695
Cl8 Cl 0.3394 0.2812 0.5305
```

***

(4)
# Ta2CoIr

Ta2CoIr after structural relaxation (GGA-PBE, Alexandria via LeMat-Bulk).

theoretical density = 16.69 Mg/m³
E = -10.258 eV per atom

Structure (CIF):
```
data_Ta2CoIr
_chemical_formula_sum 'Ta2 Co1 Ir1'
_cell_length_a 3.7501
_cell_length_b 2.8611
_cell_length_c 6.3154
_cell_angle_alpha 64.21
_cell_angle_beta 90.00
_cell_angle_gamma 90.00
_space_group_name_H-M_alt 'P 1'
_space_group_IT_number 1
_space_group_name_Hall 'P 1'
loop_
_atom_site_label
_atom_site_type_symbol
_atom_site_fract_x
_atom_site_fract_y
_atom_site_fract_z
Co1 Co 0.5000 0.2500 0.2500
Ir1 Ir 0.5000 0.7500 0.7500
Ta1 Ta 0.0000 0.0031 0.0068
Ta2 Ta 0.0000 0.4969 0.4932
```

***

(5)
# KAuI2N

KAuI2N after structural relaxation (GGA-PBE, Alexandria via LeMat-Bulk).

theoretical density = 5.39 Mg/m³
E = -2.982 eV per atom
energy above the most stable polymorph in this dataset = 0 meV per atom

Structure (CIF):
```
data_KAuI2N
_chemical_formula_sum 'K1 Au1 I2 N1'
_cell_length_a 6.3685
_cell_length_b 6.3685
_cell_length_c 3.8287
_cell_angle_alpha 90.00
_cell_angle_beta 90.00
_cell_angle_gamma 90.00
_space_group_name_H-M_alt 'P 1'
_space_group_IT_number 1
_space_group_name_Hall 'P 1'
loop_
_atom_site_label
_atom_site_type_symbol
_atom_site_fract_x
_atom_site_fract_y
_atom_site_fract_z
I1 I 0.0000 0.5000 0.0000
I2 I 0.5000 0.0000 0.0000
K1 K 0.5000 0.5000 0.5000
Au1 Au 0.0000 0.0000 0.0000
N1 N 0.0000 0.0000 0.5000
```

***

(6)
# TmCrSnRu

TmCrSnRu after structural relaxation (GGA-PBE, Alexandria via LeMat-Bulk).

theoretical density = 10.15 Mg/m³
E = -7.086 eV per atom

Structure (CIF):
```
data_TmCrSnRu
_chemical_formula_sum 'Tm1 Cr1 Sn1 Ru1'
_cell_length_a 4.6725
_cell_length_b 4.6725
_cell_length_c 4.6725
_cell_angle_alpha 60.00
_cell_angle_beta 60.00
_cell_angle_gamma 60.00
_space_group_name_H-M_alt 'P 1'
_space_group_IT_number 1
_space_group_name_Hall 'P 1'
loop_
_atom_site_label
_atom_site_type_symbol
_atom_site_fract_x
_atom_site_fract_y
_atom_site_fract_z
Ru1 Ru 0.2500 0.2500 0.2500
Tm1 Tm 0.0000 0.0000 0.0000
Sn1 Sn 0.5000 0.5000 0.5000
Cr1 Cr 0.7500 0.7500 0.7500
```

***

(7)
# HfTiAgW

HfTiAgW after structural relaxation (GGA-PBE, Alexandria via LeMat-Bulk).

theoretical density = 12.14 Mg/m³
E = -8.319 eV per atom

Structure (CIF):
```
data_HfTiAgW
_chemical_formula_sum 'Hf1 Ti1 Ag1 W1'
_cell_length_a 4.6450
_cell_length_b 4.6450
_cell_length_c 4.6450
_cell_angle_alpha 60.00
_cell_angle_beta 60.00
_cell_angle_gamma 60.00
_space_group_name_H-M_alt 'P 1'
_space_group_IT_number 1
_space_group_name_Hall 'P 1'
loop_
_atom_site_label
_atom_site_type_symbol
_atom_site_fract_x
_atom_site_fract_y
_atom_site_fract_z
Hf1 Hf 0.0000 0.0000 0.0000
Ag1 Ag 0.7500 0.7500 0.7500
W1 W 0.2500 0.2500 0.2500
Ti1 Ti 0.5000 0.5000 0.5000
```

***

(8)
# ReNiPt4

ReNiPt4 after structural relaxation (GGA-PBE, Alexandria via LeMat-Bulk).

theoretical density = 19.19 Mg/m³
E = -7.190 eV per atom
energy above the most stable polymorph in this dataset = 0 meV per atom

Structure (CIF):
```
data_ReNiPt4
_chemical_formula_sum 'Re1 Ni1 Pt4'
_cell_length_a 2.7598
_cell_length_b 2.7598
_cell_length_c 11.6503
_cell_angle_alpha 89.99
_cell_angle_beta 90.00
_cell_angle_gamma 90.00
_space_group_name_H-M_alt 'P 1'
_space_group_IT_number 1
_space_group_name_Hall 'P 1'
loop_
_atom_site_label
_atom_site_type_symbol
_atom_site_fract_x
_atom_site_fract_y
_atom_site_fract_z
Re1 Re 0.0000 0.0000 0.0000
Ni1 Ni 0.5000 0.5000 0.5000
Pt1 Pt 0.0000 0.9997 0.6523
Pt2 Pt 0.5000 0.5001 0.8352
Pt3 Pt 0.5000 0.4999 0.1648
Pt4 Pt 0.0000 0.0003 0.3477
```

***

(9)
# Ta2Au2O

Ta2Au2O after structural relaxation (GGA-PBE, Alexandria via LeMat-Bulk).

theoretical density = 14.03 Mg/m³
E = -6.354 eV per atom
energy above the most stable polymorph in this dataset = 1378 meV per atom

Structure (CIF):
```
data_Ta2Au2O
_chemical_formula_sum 'Ta2 Au2 O1'
_cell_length_a 3.5990
_cell_length_b 3.5990
_cell_length_c 7.4995
_cell_angle_alpha 76.12
_cell_angle_beta 76.12
_cell_angle_gamma 90.00
_space_group_name_H-M_alt 'P 1'
_space_group_IT_number 1
_space_group_name_Hall 'P 1'
loop_
_atom_site_label
_atom_site_type_symbol
_atom_site_fract_x
_atom_site_fract_y
_atom_site_fract_z
Au1 Au 0.7500 0.2500 0.5000
Au2 Au 0.2500 0.7500 0.5000
O1 O 0.0000 0.0000 0.0000
Ta1 Ta 0.4071 0.4071 0.1858
Ta2 Ta 0.5929 0.5929 0.8142
```

***

(10)
# Nb2RuPt3

Nb2RuPt3 after structural relaxation (GGA-PBE, Alexandria via LeMat-Bulk).

theoretical density = 13.75 Mg/m³
E = -8.145 eV per atom
energy above the most stable polymorph in this dataset = 214 meV per atom

Structure (CIF):
```
data_Nb2RuPt3
_chemical_formula_sum 'Nb4 Ru2 Pt6'
_cell_length_a 4.5958
_cell_length_b 4.5958
_cell_length_c 10.5416
_cell_angle_alpha 103.44
_cell_angle_beta 103.44
_cell_angle_gamma 86.19
_space_group_name_H-M_alt 'P 1'
_space_group_IT_number 1
_space_group_name_Hall 'P 1'
loop_
_atom_site_label
_atom_site_type_symbol
_atom_site_fract_x
_atom_site_fract_y
_atom_site_fract_z
Nb1 Nb 0.7500 0.2500 0.5000
Nb2 Nb 0.2217 0.7783 0.0000
Nb3 Nb 0.2500 0.7500 0.5000
Nb4 Nb 0.7783 0.2217 0.0000
Ru1 Ru 0.6882 0.6882 0.3763
Ru2 Ru 0.3118 0.3118 0.6237
Pt1 Pt 0.3655 0.3655 0.1465
Pt2 Pt 0.2190 0.2190 0.8535
Pt3 Pt 0.6345 0.6345 0.8535
Pt4 Pt 0.7810 0.7810 0.1465
Pt5 Pt 0.1686 0.1686 0.3372
Pt6 Pt 0.8314 0.8314 0.6628
```

***

(11)
# La2GaCl

La2GaCl after structural relaxation (GGA-PBE, Alexandria via LeMat-Bulk).

theoretical density = 6.18 Mg/m³
E = -4.725 eV per atom
energy above the most stable polymorph in this dataset = 0 meV per atom

Structure (CIF):
```
data_La2GaCl
_chemical_formula_sum 'La2 Ga1 Cl1'
_cell_length_a 3.5361
_cell_length_b 3.5361
_cell_length_c 8.2348
_cell_angle_alpha 90.00
_cell_angle_beta 90.00
_cell_angle_gamma 90.00
_space_group_name_H-M_alt 'P 1'
_space_group_IT_number 1
_space_group_name_Hall 'P 1'
loop_
_atom_site_label
_atom_site_type_symbol
_atom_site_fract_x
_atom_site_fract_y
_atom_site_fract_z
Cl1 Cl 0.5000 0.5000 0.5000
Ga1 Ga 0.5000 0.5000 0.0000
La1 La 0.0000 0.0000 0.7605
La2 La 0.0000 0.0000 0.2395
```

***

(12)
# Rb3Ce2SnSe6

Rb3Ce2SnSe6 after structural relaxation (GGA-PBE, Alexandria via LeMat-Bulk).

theoretical density = 4.71 Mg/m³
E = -4.721 eV per atom

Structure (CIF):
```
data_Rb3Ce2SnSe6
_chemical_formula_sum 'Rb3 Ce2 Sn1 Se6'
_cell_length_a 7.6250
_cell_length_b 7.6250
_cell_length_c 8.3038
_cell_angle_alpha 98.79
_cell_angle_beta 98.79
_cell_angle_gamma 119.97
_space_group_name_H-M_alt 'P 1'
_space_group_IT_number 1
_space_group_name_Hall 'P 1'
loop_
_atom_site_label
_atom_site_type_symbol
_atom_site_fract_x
_atom_site_fract_y
_atom_site_fract_z
Rb1 Rb 0.1618 0.8382 0.5000
Rb2 Rb 0.8382 0.1618 0.5000
Rb3 Rb 0.5000 0.5000 0.5000
Ce1 Ce 0.3329 0.6671 0.0000
Ce2 Ce 0.6671 0.3329 0.0000
Sn1 Sn 0.0000 0.0000 0.0000
Se1 Se 0.9340 0.5885 0.8023
Se2 Se 0.7200 0.7200 0.1961
Se3 Se 0.0660 0.4115 0.1977
Se4 Se 0.5885 0.9340 0.8023
Se5 Se 0.2800 0.2800 0.8039
Se6 Se 0.4115 0.0660 0.1977
```